Computed, not measured: a relaxed structure of PaAlZn3 at the PBE-GGA level of DFT.

Values from the calculation:
* ΔE_f: 44 kJ/mol of atoms
* space-group type: Cmcm
* density of states at the Fermi level: 1.419 states/eV/atom
* mass density: 6.5 Mg/m³

abc: 4.9187 6.9947 7.6244
angles: 62.70 90.00 90.00
Atoms (fractional coordinates):
Zn: 0.0000 0.0000 0.0000
Zn: 0.5000 0.0000 0.0000
Zn: 0.7500 0.6744 0.2802
Zn: 0.2500 0.3256 0.7198
Zn: 0.2500 0.9546 0.7198
Zn: 0.7500 0.0454 0.2802
Pa: 0.7500 0.2237 0.5526
Pa: 0.2500 0.7763 0.4474
Al: 0.2500 0.5404 0.9193
Al: 0.7500 0.4596 0.0807

Computed, not measured: a relaxed structure of Pa3Al2Zn4 at the PBE-GGA level of DFT.

Values from the calculation:
* ΔE_f: -13 kJ/mol of atoms
* space-group type: P-6m2
* density of states at the Fermi level: 1.562 states/eV/atom
* mass density: 9.4 Mg/m³

abc: 4.6478 4.6478 18.9547
angles: 90.00 90.00 120.00
Atoms (fractional coordinates):
Zn: 0.6667 0.3333 0.3314
Zn: 0.0000 0.0000 0.6667
Zn: 0.6667 0.3333 0.5017
Zn: 0.0000 0.0000 0.3351
Zn: 0.6667 0.3333 0.6667
Zn: 0.0000 0.0000 0.9982
Zn: 0.6667 0.3333 0.0019
Zn: 0.6667 0.3333 0.8316
Pa: 0.3333 0.6667 0.9209
Pa: 0.3333 0.6667 0.5893
Pa: 0.3333 0.6667 0.7440
Pa: 0.3333 0.6667 0.0782
Pa: 0.3333 0.6667 0.4124
Pa: 0.3333 0.6667 0.2552
Al: 0.0000 0.0000 0.8326
Al: 0.0000 0.0000 0.1667
Al: 0.0000 0.0000 0.5007
Al: 0.6667 0.3333 0.1667

Computed, not measured: a relaxed structure of PaAl4Zn at the PBE-GGA level of DFT.

Values from the calculation:
* ΔE_f: 1 kJ/mol of atoms
* space-group type: F-43m
* density of states at the Fermi level: 1.400 states/eV/atom
* mass density: 5.9 Mg/m³

abc: 5.4448 5.4448 5.4448
angles: 60.00 60.00 60.00
Atoms (fractional coordinates):
Al: 0.6249 0.1253 0.6249
Al: 0.6249 0.6249 0.6249
Al: 0.6249 0.6249 0.1253
Al: 0.1253 0.6249 0.6249
Pa: 0.2500 0.2500 0.2500
Zn: 0.0000 0.0000 0.0000

Computed, not measured: a relaxed structure of Pa2Al8Zn at the PBE-GGA level of DFT.

Values from the calculation:
* ΔE_f: -15 kJ/mol of atoms
* space-group type: P4/mmm
* density of states at the Fermi level: 0.864 states/eV/atom
* mass density: 5.8 Mg/m³

abc: 4.3538 4.3538 11.2406
angles: 90.00 90.00 90.00
Atoms (fractional coordinates):
Al: 0.0000 0.5000 0.8719
Al: 0.5000 0.5000 0.3095
Al: 0.5000 0.5000 0.6905
Al: 0.5000 0.0000 0.5000
Al: 0.0000 0.5000 0.1281
Al: 0.5000 0.0000 0.1281
Al: 0.5000 0.0000 0.8719
Al: 0.0000 0.5000 0.5000
Zn: 0.0000 0.0000 0.0000
Pa: 0.0000 0.0000 0.6876
Pa: 0.0000 0.0000 0.3124

Computed, not measured: a relaxed structure of PaAlZn2 at the PBE-GGA level of DFT.

Values from the calculation:
* ΔE_f: -8 kJ/mol of atoms
* space-group type: Fm-3m
* density of states at the Fermi level: 0.574 states/eV/atom
* mass density: 8.6 Mg/m³

abc: 4.7308 4.7308 4.7308
angles: 60.00 60.00 60.00
Atoms (fractional coordinates):
Zn: 0.2500 0.2500 0.2500
Zn: 0.7500 0.7500 0.7500
Pa: 0.0000 0.0000 0.0000
Al: 0.5000 0.5000 0.5000

Computed, not measured: a relaxed structure of PaAlZn2 at the PBE-GGA level of DFT.

Values from the calculation:
* ΔE_f: -9 kJ/mol of atoms
* space-group type: Pnma
* density of states at the Fermi level: 0.768 states/eV/atom
* mass density: 8.4 Mg/m³

abc: 4.2503 6.9183 10.4129
angles: 90.00 90.00 90.00
Atoms (fractional coordinates):
Zn: 0.2500 0.1196 0.1465
Zn: 0.7500 0.7845 0.4372
Zn: 0.2500 0.6196 0.3535
Zn: 0.7500 0.2845 0.0628
Zn: 0.7500 0.8804 0.8535
Zn: 0.2500 0.2155 0.5628
Zn: 0.2500 0.7155 0.9372
Zn: 0.7500 0.3804 0.6465
Pa: 0.7500 0.3206 0.3580
Pa: 0.2500 0.1794 0.8580
Pa: 0.2500 0.6794 0.6420
Pa: 0.7500 0.8206 0.1420
Al: 0.2500 0.9877 0.3675
Al: 0.2500 0.4877 0.1325
Al: 0.7500 0.5123 0.8675
Al: 0.7500 0.0123 0.6325

What did the second record say?
Computed, not measured: a relaxed structure of Pa3Al2Zn4 at the PBE-GGA level of DFT.

Values from the calculation:
* ΔE_f: -13 kJ/mol of atoms
* space-group type: P-6m2
* density of states at the Fermi level: 1.562 states/eV/atom
* mass density: 9.4 Mg/m³

abc: 4.6478 4.6478 18.9547
angles: 90.00 90.00 120.00
Atoms (fractional coordinates):
Zn: 0.6667 0.3333 0.3314
Zn: 0.0000 0.0000 0.6667
Zn: 0.6667 0.3333 0.5017
Zn: 0.0000 0.0000 0.3351
Zn: 0.6667 0.3333 0.6667
Zn: 0.0000 0.0000 0.9982
Zn: 0.6667 0.3333 0.0019
Zn: 0.6667 0.3333 0.8316
Pa: 0.3333 0.6667 0.9209
Pa: 0.3333 0.6667 0.5893
Pa: 0.3333 0.6667 0.7440
Pa: 0.3333 0.6667 0.0782
Pa: 0.3333 0.6667 0.4124
Pa: 0.3333 0.6667 0.2552
Al: 0.0000 0.0000 0.8326
Al: 0.0000 0.0000 0.1667
Al: 0.0000 0.0000 0.5007
Al: 0.6667 0.3333 0.1667

Copy entry 6 word for word.
Computed, not measured: a relaxed structure of PaAlZn2 at the PBE-GGA level of DFT.

Values from the calculation:
* ΔE_f: -9 kJ/mol of atoms
* space-group type: Pnma
* density of states at the Fermi level: 0.768 states/eV/atom
* mass density: 8.4 Mg/m³

abc: 4.2503 6.9183 10.4129
angles: 90.00 90.00 90.00
Atoms (fractional coordinates):
Zn: 0.2500 0.1196 0.1465
Zn: 0.7500 0.7845 0.4372
Zn: 0.2500 0.6196 0.3535
Zn: 0.7500 0.2845 0.0628
Zn: 0.7500 0.8804 0.8535
Zn: 0.2500 0.2155 0.5628
Zn: 0.2500 0.7155 0.9372
Zn: 0.7500 0.3804 0.6465
Pa: 0.7500 0.3206 0.3580
Pa: 0.2500 0.1794 0.8580
Pa: 0.2500 0.6794 0.6420
Pa: 0.7500 0.8206 0.1420
Al: 0.2500 0.9877 0.3675
Al: 0.2500 0.4877 0.1325
Al: 0.7500 0.5123 0.8675
Al: 0.7500 0.0123 0.6325

mass density of number 5 (PaAlZn2)?
8.6 Mg/m³